[1]
Below is a geometry-optimized Te3Pd2 structure, with properties calculated at the PBE level. Values from VASP.

Results
**Space group**: No. 63
**Uncorrected energy**: -42.325 eV for the cell shown
**Volume**: 28.02 A^3/atom
**Mass density**: 7.1 g cm⁻³

Quantum ESPRESSO input file:
```
&SYSTEM
  ibrav = 0, nat = 10, ntyp = 2
/
ATOMIC_SPECIES
Te 127.60 Te.upf
Pd 106.42 Pd.upf
ATOMIC_POSITIONS crystal
Te 0.3558 0.6442 0.2500
Te 0.6442 0.3558 0.7500
Te 0.3084 0.1136 0.2500
Te 0.1136 0.3084 0.7500
Te 0.8864 0.6916 0.2500
Te 0.6916 0.8864 0.7500
Pd 0.0000 0.5000 0.0000
Pd 0.5000 0.0000 0.0000
Pd 0.0000 0.5000 0.5000
Pd 0.5000 0.0000 0.5000
CELL_PARAMETERS angstrom
3.2968 -6.9840 0.0000
3.2968 6.9840 0.0000
0.0000 0.0000 6.0851
```

[2]
Below is a geometry-optimized Hf4CoAsN2 structure, with properties calculated at the PBE level. Values from VASP.

Results
**Space group**: No. 187
**Uncorrected energy**: -76.604 eV for the cell shown
**Volume**: 14.69 A^3/atom
**Mass density**: 12.4 g cm⁻³

Quantum ESPRESSO input file:
```
&SYSTEM
  ibrav = 0, nat = 8, ntyp = 4
/
ATOMIC_SPECIES
Hf 178.49 Hf.upf
N 14.01 N.upf
As 74.92 As.upf
Co 58.93 Co.upf
ATOMIC_POSITIONS crystal
Hf 0.0000 0.0000 0.6464
Hf 0.0000 0.0000 0.3536
Hf 0.6667 0.3333 0.1519
Hf 0.6667 0.3333 0.8481
N 0.3333 0.6667 0.7497
N 0.3333 0.6667 0.2503
As 0.0000 0.0000 0.0000
Co 0.6667 0.3333 0.5000
CELL_PARAMETERS angstrom
-1.6356 0.7957 -2.7170
-1.4444 -1.8129 2.3060
-4.2368 10.5501 5.6402
```

[3]
Below is a geometry-optimized Nb2TlPS10 structure, with properties calculated at the PBE level. Values from VASP.

Results
**Space group**: No. 7
**Uncorrected energy**: -155.090 eV for the cell shown
**Volume**: 23.94 A^3/atom
**Mass density**: 3.7 g cm⁻³

Quantum ESPRESSO input file:
```
&SYSTEM
  ibrav = 0, nat = 28, ntyp = 4
/
ATOMIC_SPECIES
S 32.06 S.upf
Tl 204.38 Tl.upf
Nb 92.91 Nb.upf
P 30.97 P.upf
ATOMIC_POSITIONS crystal
S 0.7006 0.6103 0.7479
S 0.9120 0.3599 0.9725
S 0.3377 0.9019 0.6521
S 0.6382 0.6645 0.0236
S 0.2429 0.6265 0.8258
S 0.4766 0.4533 0.0550
S 0.6338 0.3560 0.6965
S 0.8377 0.0981 0.1521
S 0.1382 0.3355 0.5236
S 0.9765 0.9123 0.9431
S 0.1338 0.6440 0.1965
S 0.1990 0.3687 0.7823
S 0.4120 0.6401 0.4725
S 0.0336 0.8994 0.4019
S 0.7429 0.3735 0.3258
S 0.9766 0.5467 0.5550
S 0.2006 0.3897 0.2479
S 0.4765 0.0877 0.4431
S 0.5336 0.1006 0.9019
S 0.6990 0.6313 0.2823
Tl 0.3697 0.0072 0.1100
Tl 0.8697 0.9928 0.6100
Nb 0.8422 0.4441 0.1588
Nb 0.3422 0.5559 0.6588
Nb 0.0466 0.5627 0.3703
Nb 0.5466 0.4373 0.8703
P 0.3210 0.8998 0.4907
P 0.8210 0.1002 0.9907
CELL_PARAMETERS angstrom
-5.4023 1.6339 4.2598
3.5124 -3.3923 5.7555
8.0801 10.0904 1.0163
```

[4]
Below is a geometry-optimized HfAlPO structure, with properties calculated at the PBE level. Values from VASP.

Results
**Space group**: No. 129
**Volume**: 15.33 A^3/atom
**Energy above the lowest structure with this stoichiometry**: 0.3914 eV/atom
**Mass density**: 6.8 g cm⁻³

Quantum ESPRESSO input file:
```
&SYSTEM
  ibrav = 0, nat = 8, ntyp = 4
/
ATOMIC_SPECIES
Hf 178.49 Hf.upf
O 16.00 O.upf
Al 26.98 Al.upf
P 30.97 P.upf
ATOMIC_POSITIONS crystal
Hf 0.0000 0.0000 0.5000
Hf 0.5000 0.5000 0.5000
O 0.5000 0.5000 0.0000
O 0.0000 0.0000 0.0000
Al 0.5000 0.0000 0.9490
Al 0.0000 0.5000 0.0510
P 0.0000 0.5000 0.7013
P 0.5000 0.0000 0.2987
CELL_PARAMETERS angstrom
-0.5076 4.1380 0.2823
-3.8468 -0.3633 -1.5907
-2.6071 -0.7618 6.4786
```